[1]
Crystalline CuGeClF6 at its relaxed geometry, computed with PBE.

Cell: 5.264 5.264 6.684 Å, 90.00 90.00 120.00°
Fractional coordinates of all 9 atoms:
Cu1 0.000 0.000 0.000
Ge1 0.333 0.667 0.000
Cl1 0.667 0.333 0.500
F1 0.055 0.366 0.154
F2 0.055 0.689 0.846
F3 0.311 0.366 0.846
F4 0.311 0.945 0.154
F5 0.634 0.689 0.154
F6 0.634 0.945 0.846

Results
Space group: P312

---

[2]
Crystalline KIn3Te at its relaxed geometry, computed with PBE.

Cell: 6.095 6.095 6.095 Å, 90.00 90.00 90.00°
Fractional coordinates of all 5 atoms:
K1 0.000 0.000 0.000
In1 0.000 0.500 0.500
In2 0.500 0.000 0.500
In3 0.500 0.500 0.000
Te1 0.500 0.500 0.500

Results
Space group: Pm-3m
Offset from the most stable computed form: 0 meV/atom

---

We obtain E values of -4.06, -2.29 eV/atom for the records listed above, in that order.
We obtain ΔE_f (raw) values of -1638, 204 meV per atom for the records listed above, in that order.